# BaSrDyWO6 (PBE+U, relaxed)
# Energy relative to the lowest polymorph listed for this composition ... 0.000 eV per atom
# Density of states at the Fermi level ... 0.0000 states/eV per atom
data_BaSrDyWO6
_chemical_formula_sum 'Ba2 Sr2 Dy2 W2 O12'
_cell_length_a 5.949
_cell_length_b 5.955
_cell_length_c 8.498
_cell_angle_alpha 89.92
_cell_angle_beta 89.79
_cell_angle_gamma 89.83
_space_group_name_H-M_alt 'P -1'
_space_group_IT_number 2
loop_
_space_group_symop_operation_xyz
'x,y,z'
'-x,-y,-z'
loop_
_atom_site_label
_atom_site_fract_x
_atom_site_fract_y
_atom_site_fract_z
_atom_site_occupancy
Ba1 0.011 0.005 0.252 1
Sr1 0.484 0.491 0.753 1
Dy1 0.000 0.500 0.500 1
Dy2 0.500 0.000 0.000 1
W1 0.000 0.500 0.000 1
W2 0.500 0.000 0.500 1
O1 0.046 0.463 0.762 1
O2 0.202 0.760 0.994 1
O3 0.232 0.789 0.507 1
O4 0.275 0.298 0.040 1
O5 0.302 0.262 0.462 1
O6 0.478 0.056 0.738 1